VASP calculation (GGA-PBE) on NdTh2Pt4 after structural relaxation.

**Mass density**: 13.87 Mg/m³
**Space group**: No. 122
**Calculated formation energy**: -8.15 eV per formula unit
**Total DFT energy (no corrections)**: -103.84 eV per cell
**D(E_F)**: 0.7367 states/eV per atom

a = 7.559 Å, b = 7.559 Å, c = 7.559 Å
α = 109.39°, β = 109.39°, γ = 109.64°
Atoms (fractional coordinates):
Nd (0.000, 0.000, 0.000)
Nd (0.750, 0.250, 0.500)
Th (0.245, 0.125, 0.620)
Th (0.375, 0.755, 0.880)
Th (0.505, 0.625, 0.380)
Th (0.875, 0.495, 0.120)
Pt (0.132, 0.386, 0.421)
Pt (0.136, 0.382, 0.921)
Pt (0.290, 0.868, 0.255)
Pt (0.460, 0.215, 0.079)
Pt (0.614, 0.035, 0.745)
Pt (0.618, 0.540, 0.755)
Pt (0.785, 0.864, 0.245)
Pt (0.965, 0.710, 0.579)


VASP calculation (GGA-PBE) on Nd2ThPt3 after structural relaxation.

**Mass density**: 11.69 Mg/m³
**Space group**: No. 70
**Calculated formation energy**: -6.82 eV per formula unit
**Total DFT energy (no corrections)**: -167.58 eV per cell
**D(E_F)**: 0.3320 states/eV per atom
**ΔE to the lowest computed polymorph**: 0.000 eV per atom

a = 13.895 Å, b = 13.250 Å, c = 7.279 Å
α = 79.41°, β = 69.60°, γ = 30.99°
Atoms (fractional coordinates):
Nd (0.042, 0.042, 0.208)
Nd (0.125, 0.125, 0.625)
Nd (0.208, 0.208, 0.042)
Nd (0.375, 0.375, 0.875)
Nd (0.625, 0.625, 0.125)
Nd (0.792, 0.792, 0.958)
Nd (0.875, 0.875, 0.375)
Nd (0.958, 0.958, 0.792)
Th (0.291, 0.291, 0.459)
Th (0.459, 0.459, 0.291)
Th (0.541, 0.541, 0.709)
Th (0.709, 0.709, 0.541)
Pt (0.041, 0.540, 0.217)
Pt (0.133, 0.617, 0.617)
Pt (0.217, 0.703, 0.041)
Pt (0.297, 0.783, 0.460)
Pt (0.383, 0.867, 0.867)
Pt (0.460, 0.959, 0.297)
Pt (0.540, 0.041, 0.703)
Pt (0.617, 0.133, 0.133)
Pt (0.703, 0.217, 0.540)
Pt (0.783, 0.297, 0.959)
Pt (0.867, 0.383, 0.383)
Pt (0.959, 0.460, 0.783)


VASP calculation (GGA-PBE) on NdTh2Pt9 after structural relaxation.

**Mass density**: 17.37 Mg/m³
**Space group**: No. 123
**Calculated formation energy**: -12.69 eV per formula unit
**Total DFT energy (no corrections)**: -86.66 eV per cell
**D(E_F)**: 0.1184 states/eV per atom
**ΔE to the lowest computed polymorph**: 0.000 eV per atom

a = 4.226 Å, b = 4.226 Å, c = 12.658 Å
α = 90.00°, β = 90.00°, γ = 90.00°
Atoms (fractional coordinates):
Nd (0.000, 0.000, 0.000)
Th (0.000, 0.000, 0.331)
Th (0.000, 0.000, 0.669)
Pt (0.000, 0.500, 0.168)
Pt (0.000, 0.500, 0.500)
Pt (0.000, 0.500, 0.832)
Pt (0.500, 0.000, 0.168)
Pt (0.500, 0.000, 0.500)
Pt (0.500, 0.000, 0.832)
Pt (0.500, 0.500, 0.000)
Pt (0.500, 0.500, 0.334)
Pt (0.500, 0.500, 0.666)


VASP calculation (GGA-PBE) on NdThPt2 after structural relaxation.

**Mass density**: 12.05 Mg/m³
**Space group**: No. 160
**Calculated formation energy**: -4.43 eV per formula unit
**Total DFT energy (no corrections)**: -28.70 eV per cell
**D(E_F)**: 0.5919 states/eV per atom
**ΔE to the lowest computed polymorph**: 0.094 eV per atom

a = 7.552 Å, b = 7.552 Å, c = 7.552 Å
α = 31.70°, β = 31.70°, γ = 31.70°
Atoms (fractional coordinates):
Nd (0.000, 0.000, 0.000)
Th (0.828, 0.828, 0.828)
Pt (0.244, 0.244, 0.244)
Pt (0.416, 0.416, 0.416)